Record 1
This record from the Alexandria database describes crystalline CsPdBr3 at its relaxed geometry. The functional is PBE.

Cell: 7.2442 7.2442 8.3803 Å, 90.00 90.00 70.93°
Last column: nearest neighbours and their distance in Å.
Fractional coordinates of all 10 atoms:
Cs 0.3567 0.6433 0.7500  6 Br 3.66-4.04, 1 Pd 3.96
Cs 0.6433 0.3567 0.2500  6 Br 3.66-4.04, 1 Pd 3.96
Br 0.5499 0.0527 0.7500  1 Pd 2.44
Br 0.0527 0.5499 0.2500  1 Pd 2.44
Br 0.0000 0.0000 0.5000  2 Pd 2.55
Br 0.9473 0.4501 0.7500  1 Pd 2.44
Br 0.0000 0.0000 0.0000  2 Pd 2.55
Br 0.4501 0.9473 0.2500  1 Pd 2.44
Pd 0.1725 0.8275 0.2500  4 Br 2.44-2.55
Pd 0.8275 0.1725 0.7500  4 Br 2.44-2.55

Summary:
Symmetry = Cmcm, No. 63
Total DFT energy (no corrections) = -2.946 eV per atom

Record 2
This record from the Alexandria database describes crystalline NbCuCl at its relaxed geometry. The functional is PBE.

Cell: 3.0462 3.0472 14.5483 Å, 90.00 90.00 119.99°
Last column: nearest neighbours and their distance in Å.
Fractional coordinates of all 6 atoms:
Cl 0.5612 0.1224 0.2698  3 Nb 2.50
Cl 0.5612 0.1224 0.7302  3 Nb 2.50
Nb 0.2278 0.4556 0.8522  3 Cl 2.50, 3 Cu 2.77-2.78
Nb 0.2278 0.4556 0.1478  3 Cl 2.50, 3 Cu 2.77-2.78
Cu 0.5597 0.1194 0.0000  6 Nb 2.77-2.78, 6 Cu 3.05
Cu 0.5289 0.0578 0.5000  6 Cu 3.05, 2 Cl 3.35

Summary:
Symmetry = Amm2, No. 38
Total DFT energy (no corrections) = -5.437 eV per atom